[1]
The following is a DFT calculation (GGA-PBE) of a relaxed structure of Sn3Pt.

a b c (Å): 3.6308 3.2654 8.2786
angles (deg): 90.00 90.00 90.00
Positions (direct):
Sn (0.0000, 0.5000, 0.4647)
Sn (0.5000, 0.5000, 0.1479)
Sn (0.5000, 0.0000, 0.7363)
Pt (0.0000, 0.0000, 0.9844)

Calculated values
Fermi-level density of states in states/eV/cell: 2.32
E in eV/cell: -18.622
Space group: No. 25
Formation energy from the elements in eV/atom: -0.1431
Total magnetic moment in Bohr magnetons per cell: 0.0


[2]
The following is a DFT calculation (GGA-PBE) of a relaxed structure of NaAcTlAs.

a b c (Å): 5.4723 5.4723 5.4723
angles (deg): 60.00 60.00 60.00
Positions (direct):
As (0.0000, 0.0000, 0.0000)
Ac (0.2500, 0.2500, 0.2500)
Tl (0.5000, 0.5000, 0.5000)
Na (0.7500, 0.7500, 0.7500)

Calculated values
Fermi-level density of states in states/eV/cell: 2.66
E in eV/cell: -14.093
Space group: No. 216
Formation energy from the elements in eV/atom: -0.4124
Total magnetic moment in Bohr magnetons per cell: 0.0